No. 1
Here is an optimized crystal structure of InHgP4 from Alexandria. Energies are from PBE-GGA.

Cell lengths 5.419, 5.419, 5.419 Å; angles 60.00, 60.00, 60.00 degrees
Fractional positions:
In: 0.000 0.000 0.000
P: 0.875 0.375 0.375
Hg: 0.750 0.750 0.750
P: 0.375 0.375 0.875
P: 0.375 0.875 0.375
P: 0.375 0.375 0.375

- E_tot (eV per cell) = -21.35
- N(E_F) (states/eV/f.u.) = 1.29


No. 2
Here is an optimized crystal structure of In2HgP2 from Alexandria. Energies are from PBE-GGA.

Cell lengths 4.548, 4.548, 7.032 Å; angles 71.13, 71.13, 90.00 degrees
Fractional positions:
P: 0.633 0.633 0.735
In: 0.750 0.250 0.500
Hg: 0.000 0.000 0.000
P: 0.367 0.367 0.265
In: 0.250 0.750 0.500

- E_tot (eV per cell) = -15.71
- distance to the lowest polymorph of the same formula (meV per atom) = 0
- N(E_F) (states/eV/f.u.) = 0.98


No. 3
Here is an optimized crystal structure of InHg2P from Alexandria. Energies are from PBE-GGA.

Cell lengths 5.097, 5.097, 5.097 Å; angles 60.00, 60.00, 60.00 degrees
Fractional positions:
In: 0.500 0.500 0.500
Hg: 0.250 0.250 0.250
P: 0.000 0.000 0.000
Hg: 0.750 0.750 0.750

- E_tot (eV per cell) = -7.39
- distance to the lowest polymorph of the same formula (meV per atom) = 259
- N(E_F) (states/eV/f.u.) = 2.14


No. 4
Here is an optimized crystal structure of InHg2P2 from Alexandria. Energies are from PBE-GGA.

Cell lengths 7.585, 7.585, 4.017 Å; angles 90.00, 90.00, 90.00 degrees
Fractional positions:
Hg: 0.367 0.133 0.500
In: 0.000 0.000 0.000
P: 0.203 0.297 0.000
P: 0.703 0.203 0.000
Hg: 0.867 0.367 0.500
Hg: 0.633 0.867 0.500
In: 0.500 0.500 0.000
P: 0.797 0.703 0.000
P: 0.297 0.797 0.000
Hg: 0.133 0.633 0.500

- E_tot (eV per cell) = -24.44
- distance to the lowest polymorph of the same formula (meV per atom) = 138
- N(E_F) (states/eV/f.u.) = 2.86


No. 5
Here is an optimized crystal structure of InHgP from Alexandria. Energies are from PBE-GGA.

Cell lengths 4.040, 4.040, 5.027 Å; angles 90.00, 90.00, 120.00 degrees
Fractional positions:
In: 0.667 0.333 0.390
Hg: 0.000 0.000 0.974
P: 0.333 0.667 0.637

- E_tot (eV per cell) = -8.16
- distance to the lowest polymorph of the same formula (meV per atom) = 0
- N(E_F) (states/eV/f.u.) = 0.41


No. 6
Here is an optimized crystal structure of InHg2P2 from Alexandria. Energies are from PBE-GGA.

Cell lengths 5.165, 5.165, 5.762 Å; angles 63.37, 63.37, 90.00 degrees
Fractional positions:
Hg: 0.750 0.250 0.500
P: 0.381 0.381 0.238
Hg: 0.250 0.750 0.500
P: 0.619 0.619 0.762
In: 0.000 0.000 0.000

- E_tot (eV per cell) = -12.91
- distance to the lowest polymorph of the same formula (meV per atom) = 0
- N(E_F) (states/eV/f.u.) = 1.99


No. 7
Here is an optimized crystal structure of InHg2P from Alexandria. Energies are from PBE-GGA.

Cell lengths 4.075, 4.079, 5.788 Å; angles 90.00, 90.00, 90.00 degrees
Fractional positions:
Hg: 0.000 0.000 0.000
Hg: 0.500 0.500 0.000
In: 0.500 0.000 0.500
P: 0.000 0.500 0.500

- E_tot (eV per cell) = -7.73
- distance to the lowest polymorph of the same formula (meV per atom) = 174
- N(E_F) (states/eV/f.u.) = 2.16


No. 8
Here is an optimized crystal structure of InHgP from Alexandria. Energies are from PBE-GGA.

Cell lengths 6.660, 6.347, 3.510 Å; angles 79.33, 69.48, 31.19 degrees
Fractional positions:
P: 0.673 0.673 0.327
In: 0.317 0.317 0.683
Hg: 0.010 0.010 0.990

- E_tot (eV per cell) = -7.45
- distance to the lowest polymorph of the same formula (meV per atom) = 238
- N(E_F) (states/eV/f.u.) = 1.98


No. 9
Here is an optimized crystal structure of InHgP2 from Alexandria. Energies are from PBE-GGA.

Cell lengths 4.860, 4.860, 4.860 Å; angles 60.00, 60.00, 60.00 degrees
Fractional positions:
In: 0.000 0.000 0.000
P: 0.750 0.750 0.750
Hg: 0.500 0.500 0.500
P: 0.250 0.250 0.250

- E_tot (eV per cell) = -11.49
- distance to the lowest polymorph of the same formula (meV per atom) = 534
- N(E_F) (states/eV/f.u.) = 2.63


No. 10
Here is an optimized crystal structure of In12Hg3P5 from Alexandria. Energies are from PBE-GGA.

Cell lengths 14.224, 14.224, 14.224 Å; angles 109.47, 109.47, 109.47 degrees
Fractional positions:
Hg: 0.625 0.250 0.375
In: 0.596 0.871 0.421
In: 0.079 0.175 0.450
In: 0.371 0.421 0.096
In: 0.579 0.629 0.404
In: 0.129 0.725 0.550
Hg: 0.750 0.875 0.625
In: 0.275 0.871 0.950
In: 0.175 0.079 0.950
P: 0.000 0.000 0.500
P: 0.625 0.875 0.250
In: 0.871 0.596 0.921
P: 0.500 0.000 0.500
In: 0.950 0.371 0.275
In: 0.450 0.675 0.079
P: 0.625 0.750 0.875
P: 0.250 0.375 0.625
In: 0.550 0.325 0.921
In: 0.825 0.904 0.275
In: 0.450 0.775 0.871
P: 0.250 0.875 0.125
In: 0.325 0.775 0.404
In: 0.629 0.579 0.904
P: 0.125 0.750 0.375
In: 0.775 0.325 0.904
In: 0.225 0.550 0.629
Hg: 0.250 0.125 0.375
Hg: 0.125 0.875 0.750
In: 0.871 0.275 0.450
P: 0.375 0.125 0.750
In: 0.275 0.404 0.825
P: 0.500 0.500 0.000
In: 0.725 0.596 0.175
Hg: 0.375 0.625 0.250
In: 0.675 0.450 0.579
In: 0.921 0.096 0.871
In: 0.579 0.950 0.675
Hg: 0.125 0.250 0.875
P: 0.375 0.250 0.125
P: 0.875 0.625 0.750
P: 0.000 0.500 0.500
Hg: 0.625 0.375 0.750
In: 0.904 0.825 0.775
Hg: 0.750 0.375 0.125
In: 0.950 0.579 0.175
Hg: 0.250 0.625 0.875
P: 0.000 0.000 0.000
In: 0.096 0.175 0.225
Hg: 0.875 0.750 0.125
In: 0.421 0.050 0.325
In: 0.325 0.550 0.421
P: 0.750 0.125 0.875
In: 0.596 0.725 0.675
In: 0.050 0.421 0.825
Hg: 0.875 0.125 0.250
In: 0.371 0.950 0.775
In: 0.825 0.921 0.050
In: 0.421 0.371 0.596
In: 0.175 0.096 0.725
In: 0.921 0.825 0.550
P: 0.125 0.375 0.250
In: 0.404 0.129 0.579
P: 0.500 0.000 0.000
In: 0.050 0.629 0.725
In: 0.904 0.079 0.629
In: 0.629 0.050 0.225
In: 0.079 0.904 0.129
In: 0.550 0.225 0.129
In: 0.225 0.675 0.096
In: 0.725 0.129 0.050
P: 0.500 0.500 0.500
In: 0.096 0.921 0.371
Hg: 0.375 0.750 0.625
P: 0.750 0.625 0.375
In: 0.675 0.225 0.596
P: 0.000 0.500 0.000
P: 0.875 0.250 0.625
In: 0.404 0.275 0.325
In: 0.775 0.450 0.371
In: 0.129 0.404 0.079

- E_tot (eV per cell) = -236.50
- N(E_F) (states/eV/f.u.) = 8.21


No. 11
Here is an optimized crystal structure of InHgP2 from Alexandria. Energies are from PBE-GGA.

Cell lengths 3.681, 3.681, 8.117 Å; angles 90.00, 90.00, 90.00 degrees
Fractional positions:
P: 0.000 0.000 0.364
Hg: 0.500 0.500 0.000
P: 0.000 0.000 0.636
In: 0.500 0.500 0.500

- E_tot (eV per cell) = -12.58
- distance to the lowest polymorph of the same formula (meV per atom) = 260
- N(E_F) (states/eV/f.u.) = 2.86


No. 12
Here is an optimized crystal structure of In2HgP2 from Alexandria. Energies are from PBE-GGA.

Cell lengths 7.745, 7.745, 3.640 Å; angles 90.00, 90.00, 90.00 degrees
Fractional positions:
In: 0.148 0.648 0.500
P: 0.843 0.657 0.000
Hg: 0.500 0.500 0.000
In: 0.852 0.352 0.500
P: 0.343 0.843 0.000
Hg: 0.000 0.000 0.000
P: 0.157 0.343 0.000
In: 0.352 0.148 0.500
In: 0.648 0.852 0.500
P: 0.657 0.157 0.000

- E_tot (eV per cell) = -30.65
- distance to the lowest polymorph of the same formula (meV per atom) = 77
- N(E_F) (states/eV/f.u.) = 2.03


No. 13
Here is an optimized crystal structure of InHgP2 from Alexandria. Energies are from PBE-GGA.

Cell lengths 3.894, 5.689, 3.832 Å; angles 90.00, 90.00, 90.00 degrees
Fractional positions:
Hg: 0.500 0.000 0.500
P: 0.500 0.500 0.000
In: 0.000 0.500 0.500
P: 0.000 0.000 0.000

- E_tot (eV per cell) = -11.86
- distance to the lowest polymorph of the same formula (meV per atom) = 441
- N(E_F) (states/eV/f.u.) = 1.60


No. 14
Here is an optimized crystal structure of InHg2P from Alexandria. Energies are from PBE-GGA.

Cell lengths 7.309, 7.309, 7.309 Å; angles 149.85, 149.20, 43.64 degrees
Fractional positions:
P: 0.750 0.250 0.500
Hg: 0.555 0.555 0.000
Hg: 0.945 0.945 0.000
In: 0.250 0.750 0.500

- E_tot (eV per cell) = -8.06
- distance to the lowest polymorph of the same formula (meV per atom) = 90
- N(E_F) (states/eV/f.u.) = 1.41


No. 15
Here is an optimized crystal structure of InHg2P from Alexandria. Energies are from PBE-GGA.

Cell lengths 6.891, 6.891, 6.891 Å; angles 35.23, 35.23, 35.23 degrees
Fractional positions:
In: 0.250 0.250 0.250
P: 0.750 0.750 0.750
Hg: 0.486 0.486 0.486
Hg: 0.014 0.014 0.014

- E_tot (eV per cell) = -7.88
- distance to the lowest polymorph of the same formula (meV per atom) = 135
- N(E_F) (states/eV/f.u.) = 2.11


No. 16
Here is an optimized crystal structure of InHg2P from Alexandria. Energies are from PBE-GGA.

Cell lengths 3.480, 3.480, 8.414 Å; angles 90.00, 90.00, 108.00 degrees
Fractional positions:
Hg: 0.000 0.000 0.976
P: 0.500 0.500 0.738
In: 0.000 0.000 0.535
Hg: 0.500 0.500 0.250

- E_tot (eV per cell) = -7.66
- distance to the lowest polymorph of the same formula (meV per atom) = 190
- N(E_F) (states/eV/f.u.) = 1.87


No. 17
Here is an optimized crystal structure of InHgP2 from Alexandria. Energies are from PBE-GGA.

Cell lengths 5.160, 5.160, 5.160 Å; angles 135.61, 112.56, 84.37 degrees
Fractional positions:
P: 0.505 0.505 0.000
Hg: 0.750 0.250 0.500
In: 0.250 0.750 0.500
P: 0.995 0.995 0.000

- E_tot (eV per cell) = -11.82
- distance to the lowest polymorph of the same formula (meV per atom) = 450
- N(E_F) (states/eV/f.u.) = 2.38


No. 18
Here is an optimized crystal structure of InHg2P from Alexandria. Energies are from PBE-GGA.

Cell lengths 3.681, 3.681, 7.947 Å; angles 90.00, 90.00, 90.00 degrees
Fractional positions:
P: 0.500 0.500 0.575
In: 0.000 0.000 0.659
Hg: 0.500 0.500 0.246
Hg: 0.000 0.000 0.019

- E_tot (eV per cell) = -8.26
- distance to the lowest polymorph of the same formula (meV per atom) = 42
- N(E_F) (states/eV/f.u.) = 0.83


No. 19
Here is an optimized crystal structure of InHgP2 from Alexandria. Energies are from PBE-GGA.

Cell lengths 6.114, 6.114, 6.114 Å; angles 149.04, 124.90, 64.56 degrees
Fractional positions:
P: 0.799 0.299 0.500
In: 0.236 0.736 0.500
P: 0.938 0.938 0.000
Hg: 0.527 0.527 0.000

- E_tot (eV per cell) = -13.32
- distance to the lowest polymorph of the same formula (meV per atom) = 77
- N(E_F) (states/eV/f.u.) = 0.89


No. 20
Here is an optimized crystal structure of InHgP from Alexandria. Energies are from PBE-GGA.

Cell lengths 4.750, 4.750, 4.750 Å; angles 60.00, 60.00, 60.00 degrees
Fractional positions:
Hg: 0.000 0.000 0.000
P: 0.750 0.750 0.750
In: 0.500 0.500 0.500

- E_tot (eV per cell) = -7.78
- distance to the lowest polymorph of the same formula (meV per atom) = 127
- N(E_F) (states/eV/f.u.) = 1.65


No. 21
Here is an optimized crystal structure of InHgP2 from Alexandria. Energies are from PBE-GGA.

Cell lengths 4.909, 4.909, 4.909 Å; angles 121.65, 121.65, 87.16 degrees
Fractional positions:
P: 0.000 0.000 0.000
In: 0.750 0.250 0.500
P: 0.250 0.750 0.500
Hg: 0.500 0.500 0.000

- E_tot (eV per cell) = -11.53
- distance to the lowest polymorph of the same formula (meV per atom) = 523
- N(E_F) (states/eV/f.u.) = 1.61


No. 22
Here is an optimized crystal structure of InHgP2 from Alexandria. Energies are from PBE-GGA.

Cell lengths 3.227, 3.227, 8.512 Å; angles 90.00, 90.00, 90.00 degrees
Fractional positions:
Hg: 0.000 0.000 0.478
P: 0.500 0.500 0.155
In: 0.500 0.500 0.800
P: 0.000 0.000 0.067

- E_tot (eV per cell) = -13.09
- distance to the lowest polymorph of the same formula (meV per atom) = 133
- N(E_F) (states/eV/f.u.) = 1.12


No. 23
Here is an optimized crystal structure of InHgP2 from Alexandria. Energies are from PBE-GGA.

Cell lengths 4.737, 4.737, 3.812 Å; angles 90.00, 90.00, 74.17 degrees
Fractional positions:
In: 0.000 0.500 0.500
P: 0.000 0.000 0.000
Hg: 0.500 0.000 0.500
P: 0.500 0.500 0.000

- E_tot (eV per cell) = -11.62
- distance to the lowest polymorph of the same formula (meV per atom) = 501
- N(E_F) (states/eV/f.u.) = 2.21


No. 24
Here is an optimized crystal structure of InHgP2 from Alexandria. Energies are from PBE-GGA.

Cell lengths 5.079, 4.268, 4.268 Å; angles 73.50, 90.00, 90.00 degrees
Fractional positions:
P: 0.500 0.152 0.152
Hg: 0.000 0.490 0.490
In: 0.500 0.768 0.768
P: 0.000 0.090 0.090

- E_tot (eV per cell) = -12.89
- distance to the lowest polymorph of the same formula (meV per atom) = 184
- N(E_F) (states/eV/f.u.) = 1.04


No. 25
Here is an optimized crystal structure of InHgP2 from Alexandria. Energies are from PBE-GGA.

Cell lengths 3.694, 4.687, 4.687 Å; angles 90.00, 90.00, 90.00 degrees
Fractional positions:
Hg: 0.500 0.500 0.000
P: 0.000 0.500 0.500
P: 0.000 0.000 0.000
In: 0.500 0.000 0.500

- E_tot (eV per cell) = -11.55
- distance to the lowest polymorph of the same formula (meV per atom) = 519
- N(E_F) (states/eV/f.u.) = 2.17